1.
VASP calculation (PBE-GGA) on a relaxed ErMoP2 crystal.

Properties
E_form: 0.349 eV/atom
DOS(E_F): 1.15 states/eV/atom

Geometry as POSCAR:
```
ErMoP2
1.0
-2.3053 -2.6772 0.6182
1.2189 -3.3345 0.5090
0.1504 -0.5901 8.4098
Er Mo P
1 1 2
Direct
0.5000 0.5000 0.5000
0.0000 0.0000 0.0000
0.9062 0.9062 0.2813
0.0938 0.0938 0.7187
```

2.
VASP calculation (PBE-GGA) on a relaxed ErPa2Mo crystal.

Properties
Relative energy among the computed polymorphs: 0.225 eV per atom
E_form: 0.429 eV/atom
DOS(E_F): 1.52 states/eV/atom

Geometry as POSCAR:
```
ErPa2Mo
1.0
-2.3246 -1.0839 2.6545
0.4178 -3.3092 1.5810
4.6877 2.1375 7.5442
Mo Er Pa
1 1 2
Direct
0.0000 0.0000 0.0000
0.5000 0.5000 0.5000
0.2683 0.2683 0.1952
0.7317 0.7317 0.8048
```

3.
VASP calculation (PBE-GGA) on a relaxed ErPa2Mo crystal.

Properties
Relative energy among the computed polymorphs: 0.000 eV per atom
E_form: 0.203 eV/atom
DOS(E_F): 2.20 states/eV/atom

Geometry as POSCAR:
```
ErPa2Mo
1.0
-1.8510 -2.7683 0.6398
2.6918 -1.4641 1.4525
-2.2740 3.2520 7.4925
Er Pa Mo
1 2 1
Direct
0.5000 0.5000 0.5000
0.0000 0.0000 0.2077
0.0000 0.0000 0.7923
0.5000 0.5000 0.0000
```